Density functional theory data (PBE) for a relaxed structure of CsMg3In9.

Properties
The density of states at the Fermi level comes out at 5.47 states/eV per cell. The energy of formation comes out at -0.06 eV per atom. Its space group is C2/m (12).

CIF file:
```
data_CsMg3In9
_chemical_formula_sum 'Cs1 Mg3 In9'
_cell_length_a 8.381
_cell_length_b 8.381
_cell_length_c 8.107
_cell_angle_alpha 81.87
_cell_angle_beta 81.87
_cell_angle_gamma 136.56
_space_group_name_H-M_alt 'P 1'
_space_group_IT_number 1
loop_
_space_group_symop_operation_xyz
'x,y,z'
loop_
_atom_site_label
_atom_site_type_symbol
_atom_site_fract_x
_atom_site_fract_y
_atom_site_fract_z
In1 In 0.723 0.493 0.774
In2 In 0.645 0.003 0.349
In3 In 0.997 0.355 0.651
In4 In 0.277 0.507 0.226
In5 In 0.000 0.000 0.500
In6 In 0.493 0.723 0.774
In7 In 0.507 0.277 0.226
In8 In 0.003 0.645 0.349
In9 In 0.355 0.997 0.651
Mg1 Mg 0.500 0.000 0.000
Mg2 Mg 0.000 0.500 0.000
Mg3 Mg 0.500 0.500 0.500
Cs1 Cs 0.000 0.000 0.000
```



Density functional theory data (PBE) for a relaxed structure of CsMgIn4.

Properties
The density of states at the Fermi level comes out at 1.89 states/eV per cell. The energy of formation comes out at 0.06 eV per atom. Its space group is F-43m (216).

CIF file:
```
data_CsMgIn4
_chemical_formula_sum 'Cs1 Mg1 In4'
_cell_length_a 6.455
_cell_length_b 6.455
_cell_length_c 6.455
_cell_angle_alpha 60.00
_cell_angle_beta 60.00
_cell_angle_gamma 60.00
_space_group_name_H-M_alt 'P 1'
_space_group_IT_number 1
loop_
_space_group_symop_operation_xyz
'x,y,z'
loop_
_atom_site_label
_atom_site_type_symbol
_atom_site_fract_x
_atom_site_fract_y
_atom_site_fract_z
Cs1 Cs 0.250 0.250 0.250
Mg1 Mg 0.000 0.000 0.000
In1 In 0.626 0.626 0.626
In2 In 0.626 0.123 0.626
In3 In 0.626 0.626 0.123
In4 In 0.123 0.626 0.626
```



Density functional theory data (PBE) for a relaxed structure of CsMgIn2N.

Properties
The value obtained for the formation energy (no corrections) is 1.4371 eV per atom. The density of states at the Fermi level comes out at 4.34 states/eV per cell. Its space group is P4/mmm (123).

CIF file:
```
data_CsMgIn2N
_chemical_formula_sum 'Cs1 Mg1 In2 N1'
_cell_length_a 6.444
_cell_length_b 4.550
_cell_length_c 6.444
_cell_angle_alpha 90.00
_cell_angle_beta 90.00
_cell_angle_gamma 90.00
_space_group_name_H-M_alt 'P 1'
_space_group_IT_number 1
loop_
_space_group_symop_operation_xyz
'x,y,z'
loop_
_atom_site_label
_atom_site_type_symbol
_atom_site_fract_x
_atom_site_fract_y
_atom_site_fract_z
Mg1 Mg 0.500 0.500 0.500
In1 In 0.000 0.000 0.500
In2 In 0.500 0.000 0.000
N1 N 0.000 0.500 0.000
Cs1 Cs 0.000 0.000 0.000
```



Density functional theory data (PBE) for a relaxed structure of CsNaMg2In.

Properties
The density of states at the Fermi level comes out at 2.67 states/eV per cell. The energy of formation comes out at 0.11 eV per atom. Its space group is P4/mmm (123).

CIF file:
```
data_CsNaMg2In
_chemical_formula_sum 'Cs1 Na1 Mg2 In1'
_cell_length_a 5.693
_cell_length_b 5.693
_cell_length_c 6.159
_cell_angle_alpha 90.00
_cell_angle_beta 90.00
_cell_angle_gamma 90.00
_space_group_name_H-M_alt 'P 1'
_space_group_IT_number 1
loop_
_space_group_symop_operation_xyz
'x,y,z'
loop_
_atom_site_label
_atom_site_type_symbol
_atom_site_fract_x
_atom_site_fract_y
_atom_site_fract_z
Cs1 Cs 0.500 0.500 0.500
Mg1 Mg 0.500 0.000 0.000
Mg2 Mg 0.000 0.500 0.000
Na1 Na 0.000 0.000 0.500
In1 In 0.000 0.000 0.000
```



Density functional theory data (PBE) for a relaxed structure of CsNa2MgIn.

Properties
The density of states at the Fermi level comes out at 1.51 states/eV per cell. The energy of formation comes out at 0.03 eV per atom. Its space group is P4/mmm (123).

CIF file:
```
data_CsNa2MgIn
_chemical_formula_sum 'Cs1 Na2 Mg1 In1'
_cell_length_a 6.195
_cell_length_b 6.195
_cell_length_c 5.532
_cell_angle_alpha 90.00
_cell_angle_beta 90.00
_cell_angle_gamma 90.00
_space_group_name_H-M_alt 'P 1'
_space_group_IT_number 1
loop_
_space_group_symop_operation_xyz
'x,y,z'
loop_
_atom_site_label
_atom_site_type_symbol
_atom_site_fract_x
_atom_site_fract_y
_atom_site_fract_z
Na1 Na 0.500 0.000 0.000
Na2 Na 0.000 0.500 0.000
Cs1 Cs 0.500 0.500 0.500
Mg1 Mg 0.000 0.000 0.500
In1 In 0.000 0.000 0.000
```



Density functional theory data (PBE) for a relaxed structure of CsNa2MgIn.

Properties
The density of states at the Fermi level comes out at 1.64 states/eV per cell. The energy of formation comes out at 0.11 eV per atom. Its space group is P4/mmm (123).

CIF file:
```
data_CsNa2MgIn
_chemical_formula_sum 'Cs1 Na2 Mg1 In1'
_cell_length_a 6.246
_cell_length_b 6.246
_cell_length_c 5.596
_cell_angle_alpha 90.00
_cell_angle_beta 90.00
_cell_angle_gamma 90.00
_space_group_name_H-M_alt 'P 1'
_space_group_IT_number 1
loop_
_space_group_symop_operation_xyz
'x,y,z'
loop_
_atom_site_label
_atom_site_type_symbol
_atom_site_fract_x
_atom_site_fract_y
_atom_site_fract_z
Cs1 Cs 0.500 0.500 0.500
Mg1 Mg 0.000 0.000 0.000
Na1 Na 0.500 0.000 0.000
Na2 Na 0.000 0.500 0.000
In1 In 0.000 0.000 0.500
```



Density functional theory data (PBE) for a relaxed structure of CsMgIn2Ni.

Properties
The density of states at the Fermi level comes out at 2.79 states/eV per cell. The energy of formation comes out at 0.00 eV per atom. Its space group is P4/mmm (123).

CIF file:
```
data_CsMgIn2Ni
_chemical_formula_sum 'Cs1 Mg1 In2 Ni1'
_cell_length_a 5.160
_cell_length_b 5.160
_cell_length_c 5.269
_cell_angle_alpha 90.00
_cell_angle_beta 90.00
_cell_angle_gamma 90.00
_space_group_name_H-M_alt 'P 1'
_space_group_IT_number 1
loop_
_space_group_symop_operation_xyz
'x,y,z'
loop_
_atom_site_label
_atom_site_type_symbol
_atom_site_fract_x
_atom_site_fract_y
_atom_site_fract_z
In1 In 0.500 0.000 0.000
In2 In 0.000 0.500 0.000
Ni1 Ni 0.000 0.000 0.000
Cs1 Cs 0.500 0.500 0.500
Mg1 Mg 0.000 0.000 0.500
```



Density functional theory data (PBE) for a relaxed structure of CsMgIn4Pb2.

Properties
The density of states at the Fermi level comes out at 4.94 states/eV per cell. The energy of formation comes out at -0.02 eV per atom. Its space group is R-3m (166).

CIF file:
```
data_CsMgIn4Pb2
_chemical_formula_sum 'Cs1 Mg1 In4 Pb2'
_cell_length_a 5.413
_cell_length_b 5.413
_cell_length_c 11.337
_cell_angle_alpha 76.19
_cell_angle_beta 76.19
_cell_angle_gamma 60.00
_space_group_name_H-M_alt 'P 1'
_space_group_IT_number 1
loop_
_space_group_symop_operation_xyz
'x,y,z'
loop_
_atom_site_label
_atom_site_type_symbol
_atom_site_fract_x
_atom_site_fract_y
_atom_site_fract_z
Pb1 Pb 0.232 0.232 0.303
Pb2 Pb 0.768 0.768 0.697
In1 In 0.408 0.408 0.775
In2 In 0.866 0.866 0.401
In3 In 0.134 0.134 0.599
In4 In 0.592 0.592 0.225
Cs1 Cs 0.000 0.000 0.000
Mg1 Mg 0.500 0.500 0.500
```



Density functional theory data (PBE) for a relaxed structure of CsMg2In4Pb.

Properties
The density of states at the Fermi level comes out at 3.07 states/eV per cell. The energy of formation comes out at -0.04 eV per atom. Its space group is R-3m (166).

CIF file:
```
data_CsMg2In4Pb
_chemical_formula_sum 'Cs1 Mg2 In4 Pb1'
_cell_length_a 5.170
_cell_length_b 5.170
_cell_length_c 12.149
_cell_angle_alpha 77.71
_cell_angle_beta 77.71
_cell_angle_gamma 60.00
_space_group_name_H-M_alt 'P 1'
_space_group_IT_number 1
loop_
_space_group_symop_operation_xyz
'x,y,z'
loop_
_atom_site_label
_atom_site_type_symbol
_atom_site_fract_x
_atom_site_fract_y
_atom_site_fract_z
In1 In 0.110 0.110 0.670
In2 In 0.411 0.411 0.768
In3 In 0.890 0.890 0.330
In4 In 0.589 0.589 0.232
Mg1 Mg 0.206 0.206 0.381
Mg2 Mg 0.794 0.794 0.619
Cs1 Cs 0.000 0.000 0.000
Pb1 Pb 0.500 0.500 0.500
```



Density functional theory data (PBE) for a relaxed structure of Cs2MgIn4Pb3.

Properties
The density of states at the Fermi level comes out at 3.74 states/eV per cell. The energy of formation comes out at -0.09 eV per atom. Its space group is P-4m2 (115).

CIF file:
```
data_Cs2MgIn4Pb3
_chemical_formula_sum 'Cs2 Mg1 In4 Pb3'
_cell_length_a 5.282
_cell_length_b 5.282
_cell_length_c 12.841
_cell_angle_alpha 90.00
_cell_angle_beta 90.00
_cell_angle_gamma 90.00
_space_group_name_H-M_alt 'P 1'
_space_group_IT_number 1
loop_
_space_group_symop_operation_xyz
'x,y,z'
loop_
_atom_site_label
_atom_site_type_symbol
_atom_site_fract_x
_atom_site_fract_y
_atom_site_fract_z
Cs1 Cs 0.500 0.000 0.244
Cs2 Cs 0.000 0.500 0.756
In1 In 0.000 0.500 0.373
In2 In 0.500 0.500 0.000
In3 In 0.000 0.000 0.000
In4 In 0.500 0.000 0.627
Pb1 Pb 0.000 0.500 0.132
Pb2 Pb 0.500 0.000 0.868
Pb3 Pb 0.000 0.000 0.500
Mg1 Mg 0.500 0.500 0.500
```